Below is Tb4Pm6Sm after structural relaxation, with properties calculated at the GGA-PBE level.

Computed properties:
Magnetization = 0.00 μB per cell
E_form = 0.29 eV/atom

Cell lengths 6.596, 6.596, 17.478 Å; angles 90.00, 90.00, 90.00 degrees
Space group I-42m (No. 121)
One atom of each set of equivalent atoms:
Tb (0.187, 0.187, 0.324) (multiplicity 8)
Pm (0.000, 0.500, 0.000) (multiplicity 4)
Pm (0.179, 0.179, 0.134) (multiplicity 8)
Sm (0.000, 0.000, 0.500) (multiplicity 2)


Below is LiScTc2 after structural relaxation, with properties calculated at the GGA-PBE level.

Computed properties:
Magnetization = 0.00 μB per cell
E_form = 0.01 eV/atom

Cell lengths 3.118, 3.118, 6.526 Å; angles 90.00, 90.00, 90.00 degrees
Space group P4mm (No. 99)
One atom of each set of equivalent atoms:
Li (0.000, 0.000, 0.000) (multiplicity 1)
Sc (0.500, 0.500, 0.287) (multiplicity 1)
Tc (0.000, 0.000, 0.562) (multiplicity 1)
Tc (0.500, 0.500, 0.773) (multiplicity 1)


Below is CaZnIr after structural relaxation, with properties calculated at the GGA-PBE level.

Computed properties:
Magnetization = 0.00 μB per cell
E_form = -0.43 eV/atom

Cell lengths 5.305, 5.659, 7.344 Å; angles 90.00, 90.00, 90.00 degrees
Space group Imma (No. 74)
One atom of each set of equivalent atoms:
Ca (0.000, 0.250, 0.134) (multiplicity 4)
Zn (0.250, 0.250, 0.750) (multiplicity 4)
Ir (0.000, 0.000, 0.500) (multiplicity 4)


Below is LaNd2DyMg after structural relaxation, with properties calculated at the GGA-PBE level.

Computed properties:
Magnetization = 0.00 μB per cell
E_form = 0.02 eV/atom

Cell lengths 6.305, 5.723, 9.525 Å; angles 90.00, 108.58, 90.00 degrees
Space group P2_1/m (No. 11)
One atom of each set of equivalent atoms:
La (0.034, 0.250, 0.389) (multiplicity 2)
Nd (0.374, 0.750, 0.391) (multiplicity 2)
Nd (0.454, 0.250, 0.197) (multiplicity 2)
Dy (0.156, 0.750, 0.997) (multiplicity 2)
Mg (0.229, 0.250, 0.810) (multiplicity 2)


Below is NbCu3Te4 after structural relaxation, with properties calculated at the GGA-PBE level.

Computed properties:
Magnetization = 0.00 μB per cell
ΔE_f (raw) = -0.30 eV per atom

Cell lengths 5.999, 5.999, 5.999 Å; angles 90.00, 90.00, 90.00 degrees
Space group P-43m (No. 215)
One atom of each set of equivalent atoms:
Nb (0.000, 0.000, 0.000) (multiplicity 1)
Cu (0.000, 0.000, 0.500) (multiplicity 3)
Te (0.257, 0.257, 0.257) (multiplicity 4)


Below is SrPmInPb after structural relaxation, with properties calculated at the GGA-PBE level.

Computed properties:
Magnetization = 0.00 μB per cell
E_form = -0.42 eV/atom

Cell lengths 7.976, 7.976, 7.976 Å; angles 90.00, 90.00, 90.00 degrees
Space group F-43m (No. 216)
One atom of each set of equivalent atoms:
Sr (0.000, 0.000, 0.000) (multiplicity 4)
Pm (0.000, 0.000, 0.500) (multiplicity 4)
In (0.250, 0.250, 0.250) (multiplicity 4)
Pb (0.250, 0.250, 0.750) (multiplicity 4)